# 1
KSbF6: optimized geometry, PBE.

Lattice parameters (Å, degrees): 9.0015 9.0015 9.0015 109.47 109.47 109.47
Sites, in units of the cell vectors:
F 0.1703 0.2462 0.1948
F 0.1948 0.9486 0.0245
Sb 0.5000 0.5000 0.0000
K 0.0000 0.0000 0.5000
F 0.0514 0.7462 0.5759
F 0.9755 0.9241 0.1703
F 0.6948 0.6703 0.2462
F 0.5245 0.6948 0.9486
K 0.5000 0.5000 0.5000
F 0.6703 0.4755 0.9241
K 0.5000 0.0000 0.0000
F 0.2462 0.5759 0.5514
F 0.0759 0.5514 0.7462
F 0.7538 0.4241 0.4486
F 0.8052 0.0514 0.9755
Sb 0.0000 0.0000 0.0000
F 0.0245 0.0759 0.8297
F 0.4486 0.0245 0.6948
F 0.3297 0.5245 0.0759
F 0.5759 0.8297 0.5245
F 0.2538 0.8052 0.3297
F 0.4241 0.1703 0.4755
F 0.8297 0.7538 0.8052
K 0.0000 0.5000 0.0000
F 0.9241 0.4486 0.2538
F 0.5514 0.9755 0.3052
Sb 0.5000 0.0000 0.5000
F 0.4755 0.3052 0.0514
F 0.9486 0.2538 0.4241
F 0.7462 0.1948 0.6703
Sb 0.0000 0.5000 0.5000
F 0.3052 0.3297 0.7538

Properties
The space-group type is Ia-3.

***

# 2
KSb3F: optimized geometry, PBE.

Lattice parameters (Å, degrees): 5.0937 5.0937 5.0937 90.00 90.00 90.00
Sites, in units of the cell vectors:
K 0.5000 0.5000 0.5000
Sb 0.0000 0.5000 0.0000
Sb 0.5000 0.0000 0.0000
F 0.0000 0.0000 0.0000
Sb 0.0000 0.0000 0.5000

Properties
The space-group type is Pm-3m. As for the distance to the lowest polymorph of the same formula: 0.0 meV per atom.

***

# 3
K2SbF6: optimized geometry, PBE.

Lattice parameters (Å, degrees): 4.7684 6.0797 6.0797 60.00 89.98 89.98
Sites, in units of the cell vectors:
F 0.7683 0.1649 0.1649
K 0.6985 0.6667 0.6667
F 0.7688 0.1649 0.6701
Sb 0.0000 0.0000 0.0000
F 0.7688 0.6701 0.1649
F 0.2312 0.8351 0.3299
F 0.2312 0.3299 0.8351
F 0.2317 0.8351 0.8351
K 0.3015 0.3333 0.3333

Properties
The space-group type is P-3m1. As for the distance to the lowest polymorph of the same formula: 7.9 meV per atom.

***

# 4
K12Sb3F5: optimized geometry, PBE.

Lattice parameters (Å, degrees): 15.4155 15.4155 15.4155 109.47 109.47 109.47
Sites, in units of the cell vectors:
K 0.5984 0.6156 0.4164
F 0.1250 0.7500 0.3750
K 0.1992 0.5172 0.6156
K 0.0172 0.4016 0.8180
F 0.6250 0.8750 0.2500
Sb 0.1250 0.2500 0.8750
F 0.7500 0.1250 0.8750
K 0.8008 0.4828 0.3844
K 0.9164 0.0984 0.6156
F 0.2500 0.3750 0.6250
K 0.5836 0.8844 0.4016
F 0.5000 0.0000 0.0000
Sb 0.7500 0.8750 0.6250
K 0.9016 0.8180 0.5172
K 0.0984 0.9164 0.1156
F 0.5000 0.0000 0.5000
K 0.1992 0.6820 0.0836
F 0.0000 0.0000 0.5000
F 0.6250 0.7500 0.8750
F 0.0000 0.0000 0.0000
K 0.5836 0.6992 0.6820
K 0.9164 0.8180 0.8008
K 0.8844 0.3008 0.4828
K 0.3008 0.8844 0.9828
F 0.5000 0.5000 0.5000
Sb 0.2500 0.6250 0.8750
F 0.0000 0.5000 0.5000
K 0.1156 0.6992 0.5172
K 0.8008 0.3180 0.9164
K 0.6156 0.0172 0.1992
F 0.5000 0.5000 0.0000
K 0.9828 0.3844 0.3008
K 0.6992 0.5836 0.1820
K 0.5172 0.1992 0.1156
K 0.9828 0.5984 0.1820
Sb 0.2500 0.1250 0.3750
K 0.3844 0.4016 0.0836
Sb 0.6250 0.3750 0.7500
K 0.0836 0.9016 0.3844
K 0.6156 0.5984 0.9164
K 0.6820 0.1992 0.5836
K 0.4828 0.8008 0.8844
K 0.6992 0.1156 0.0172
K 0.4164 0.3008 0.3180
K 0.0172 0.6156 0.6992
F 0.8750 0.6250 0.7500
Sb 0.3750 0.7500 0.6250
K 0.3180 0.8008 0.4164
K 0.1820 0.0984 0.9828
F 0.0000 0.5000 0.0000
Sb 0.1250 0.8750 0.7500
F 0.2500 0.8750 0.1250
K 0.6820 0.4828 0.5984
K 0.5984 0.9828 0.6820
F 0.3750 0.1250 0.7500
K 0.9016 0.0836 0.8844
K 0.3180 0.5172 0.4016
K 0.0836 0.1820 0.1992
K 0.4828 0.6820 0.0984
K 0.8180 0.9016 0.0172
Sb 0.8750 0.1250 0.2500
K 0.4016 0.3844 0.5836
F 0.8750 0.2500 0.6250
F 0.7500 0.6250 0.3750
F 0.1250 0.3750 0.2500
F 0.3750 0.2500 0.1250
Sb 0.8750 0.7500 0.1250
K 0.1156 0.4164 0.0984
K 0.0984 0.1820 0.4828
K 0.4164 0.1156 0.5984
Sb 0.7500 0.3750 0.1250
K 0.4016 0.0172 0.3180
K 0.8844 0.5836 0.9016
K 0.8180 0.9164 0.3008
K 0.5172 0.3180 0.9016
K 0.3844 0.9828 0.8008
Sb 0.3750 0.6250 0.2500
Sb 0.6250 0.2500 0.3750
K 0.1820 0.0836 0.6992
K 0.3008 0.4164 0.8180

Properties
The space-group type is Ia-3d.

***

# 5
K5Sb2F12: optimized geometry, PBE.

Lattice parameters (Å, degrees): 7.9813 8.4243 6.6074 118.98 90.00 118.28
Sites, in units of the cell vectors:
F 0.0674 0.7555 0.0791
K 0.2442 0.4884 0.6350
F 0.8195 0.2402 0.3865
K 0.6831 0.3662 0.7689
F 0.4288 0.8576 0.0376
F 0.3119 0.2445 0.9209
K 0.0000 0.0000 0.5000
F 0.9289 0.8577 0.7883
F 0.5792 0.7598 0.6135
F 0.4208 0.2402 0.3865
F 0.5712 0.1424 0.9624
F 0.1805 0.7598 0.6135
Sb 0.2477 0.0000 0.0000
F 0.6881 0.7555 0.0791
K 0.3169 0.6338 0.2311
Sb 0.7523 0.0000 0.0000
F 0.0711 0.1423 0.2117
F 0.9326 0.2445 0.9209
K 0.7558 0.5116 0.3650

Properties
The space-group type is C2/m.

***

# 6
KSbF2: optimized geometry, PBE.

Lattice parameters (Å, degrees): 6.7337 6.7337 6.0625 56.26 56.26 90.00
Sites, in units of the cell vectors:
K 0.2500 0.7500 0.5000
F 0.6392 0.1250 0.2500
F 0.3750 0.3608 0.7500
F 0.1108 0.6250 0.2500
Sb 0.7500 0.2500 0.5000
F 0.8750 0.8892 0.7500
Sb 0.0000 0.0000 0.0000
K 0.5000 0.5000 0.0000

Properties
The space-group type is I-42d. As for the distance to the lowest polymorph of the same formula: 492.9 meV per atom.

***

# 7
KSbF3: optimized geometry, PBE.

Lattice parameters (Å, degrees): 4.6236 4.6236 4.6236 90.00 90.00 90.00
Sites, in units of the cell vectors:
F 0.0000 0.5000 0.0000
K 0.0000 0.0000 0.0000
Sb 0.5000 0.5000 0.5000
F 0.0000 0.0000 0.5000
F 0.5000 0.0000 0.0000

Properties
The space-group type is Pm-3m. As for the distance to the lowest polymorph of the same formula: 1141.9 meV per atom.

***

# 8
K2SbSeF: optimized geometry, PBE.

Lattice parameters (Å, degrees): 5.0245 5.3447 5.0245 90.00 90.00 90.00
Sites, in units of the cell vectors:
F 0.0000 0.0000 0.0000
Sb 0.0000 0.5000 0.0000
K 0.5000 0.0000 0.0000
K 0.0000 0.0000 0.5000
Se 0.5000 0.5000 0.5000

Properties
The space-group type is P4/mmm.

***

# 9
K4SnSb2F14: optimized geometry, PBE.

Lattice parameters (Å, degrees): 6.8130 7.5799 7.7958 92.05 91.73 114.79
Sites, in units of the cell vectors:
F 0.4262 0.6591 0.4809
F 0.0785 0.6285 0.6689
F 0.7231 0.8934 0.1254
Sb 0.3928 0.8112 0.6821
Sb 0.6072 0.1888 0.3179
F 0.7238 0.0593 0.5084
K 0.1488 0.2671 0.5886
F 0.9501 0.2345 0.9380
F 0.6005 0.4256 0.1865
Sn 0.0000 0.0000 0.0000
F 0.2769 0.1066 0.8746
F 0.0499 0.7655 0.0620
K 0.7174 0.4508 0.8583
F 0.1568 0.1398 0.2202
F 0.9215 0.3715 0.3311
F 0.3995 0.5744 0.8135
K 0.2826 0.5492 0.1417
F 0.2762 0.9407 0.4916
F 0.8432 0.8602 0.7798
F 0.5738 0.3409 0.5191
K 0.8512 0.7329 0.4114

Properties
The space-group type is P-1.

***

# 10
KSnSbF2: optimized geometry, PBE.

Lattice parameters (Å, degrees): 4.7100 5.9374 4.7100 90.00 90.00 90.00
Sites, in units of the cell vectors:
Sb 0.0000 0.0000 0.0000
Sn 0.0000 0.5000 0.0000
K 0.5000 0.5000 0.5000
F 0.0000 0.0000 0.5000
F 0.5000 0.0000 0.0000

Properties
The space-group type is P4/mmm.

***

# 11
KSbTe2F: optimized geometry, PBE.

Lattice parameters (Å, degrees): 5.6202 5.6202 4.5196 90.00 90.00 90.00
Sites, in units of the cell vectors:
K 0.5000 0.5000 0.5000
Sb 0.0000 0.0000 0.5000
F 0.0000 0.0000 0.0000
Te 0.5000 0.0000 0.0000
Te 0.0000 0.5000 0.0000

Properties
The space-group type is P4/mmm.

***

# 12
KSb2TeF: optimized geometry, PBE.

Lattice parameters (Å, degrees): 6.0200 6.0200 5.9078 90.00 90.00 90.00
Sites, in units of the cell vectors:
Sb 0.0000 0.5000 0.0000
F 0.5000 0.5000 0.5000
K 0.0000 0.0000 0.0000
Te 0.0000 0.0000 0.5000
Sb 0.5000 0.0000 0.0000

Properties
The space-group type is P4/mmm. As for the distance to the lowest polymorph of the same formula: 1339.8 meV per atom.

***

# 13
KSb2TeF: optimized geometry, PBE.

Lattice parameters (Å, degrees): 4.9202 4.9202 5.6614 90.00 90.00 90.00
Sites, in units of the cell vectors:
Sb 0.0000 0.5000 0.0000
Te 0.0000 0.0000 0.5000
K 0.5000 0.5000 0.5000
Sb 0.5000 0.0000 0.0000
F 0.0000 0.0000 0.0000

Properties
The space-group type is P4/mmm. As for the distance to the lowest polymorph of the same formula: 0.0 meV per atom.

***

# 14
K2TlSbF: optimized geometry, PBE.

Lattice parameters (Å, degrees): 5.0124 5.0124 5.8433 90.00 90.00 90.00
Sites, in units of the cell vectors:
K 0.5000 0.0000 0.0000
F 0.0000 0.0000 0.0000
Tl 0.0000 0.0000 0.5000
K 0.0000 0.5000 0.0000
Sb 0.5000 0.5000 0.5000

Properties
The space-group type is P4/mmm.

***

# 15
K2TlSbF6: optimized geometry, PBE.

Lattice parameters (Å, degrees): 6.8287 6.8287 6.8287 60.00 60.00 60.00
Sites, in units of the cell vectors:
K 0.7500 0.7500 0.7500
Sb 0.0000 0.0000 0.0000
F 0.7728 0.7728 0.2272
K 0.2500 0.2500 0.2500
F 0.7728 0.2272 0.2272
F 0.2272 0.7728 0.7728
F 0.2272 0.7728 0.2272
Tl 0.5000 0.5000 0.5000
F 0.7728 0.2272 0.7728
F 0.2272 0.2272 0.7728

Properties
The space-group type is Fm-3m.

***

# 16
KZn2SbF8: optimized geometry, PBE.

Lattice parameters (Å, degrees): 5.2862 5.2862 8.9358 72.80 72.80 60.00
Sites, in units of the cell vectors:
Zn 0.7447 0.7447 0.7658
K 0.0000 0.0000 0.0000
Sb 0.5000 0.5000 0.5000
F 0.2347 0.8801 0.3316
F 0.7653 0.4464 0.6684
Zn 0.2553 0.2553 0.2342
F 0.1199 0.7653 0.6684
F 0.3289 0.3289 0.0133
F 0.8801 0.5536 0.3316
F 0.6711 0.6711 0.9867
F 0.4464 0.1199 0.6684
F 0.5536 0.2347 0.3316

Properties
The space-group type is R32.

***

# 17
KZnSbF6: optimized geometry, PBE.

Lattice parameters (Å, degrees): 7.2455 7.6787 7.4522 121.01 119.09 90.00
Sites, in units of the cell vectors:
Sb 0.5000 0.5000 0.0000
Sb 0.5000 0.0000 0.0000
F 0.1187 0.3325 0.7704
Zn 0.0000 0.0000 0.5000
F 0.3484 0.6675 0.2296
F 0.3285 0.0785 0.6569
F 0.1187 0.9379 0.7704
F 0.6516 0.9379 0.7704
F 0.6103 0.3603 0.2206
Zn 0.5000 0.0000 0.5000
F 0.8813 0.6675 0.2296
K 0.0849 0.3349 0.1698
F 0.6516 0.3325 0.7704
F 0.8813 0.0621 0.2296
F 0.3484 0.0621 0.2296
F 0.6715 0.9215 0.3431
F 0.3897 0.6397 0.7794
K 0.9151 0.6651 0.8302

Properties
The space-group type is Imma.

***

# 18
K2ScF4: optimized geometry, PBE.

Lattice parameters (Å, degrees): 4.1053 4.1053 9.9752 78.13 78.13 90.00
Sites, in units of the cell vectors:
K 0.6474 0.6474 0.7052
F 0.8946 0.8946 0.2108
F 0.5000 0.0000 0.0000
Sc 0.0000 0.0000 0.0000
F 0.0000 0.5000 0.0000
F 0.1054 0.1054 0.7892
K 0.3526 0.3526 0.2948

Properties
The space-group type is I4/mmm.

***

How do the records compare in raw formation energy? In the order shown, they have -2.587, -0.322, -2.562, -1.458, -2.516, -1.544, -1.202, -1.006, -2.664, -1.093, -0.463, 0.940, -0.400, -1.105, -2.359, -2.301, -2.382, -3.066 eV per atom.